1.
## IrRuRh2Se8 (PBE)

Data for a geometry-optimized IrRuRh2Se8 structure.

As for the final energy: -5.424 eV/atom. The raw formation energy is -0.364 eV/atom. As for the density of states at the Fermi level: 8.0 states/eV/f.u. The calculated density comes out at 8.01 Mg/m³. The calculation puts the total moment at 0.0000 μB per atom.

a b c (Å): 6.036 5.044 7.700
angles (deg): 90.00 90.00 89.80
Atoms (fractional coordinates):
Se  0.626  0.785  0.000
Se  0.126  0.720  0.252
Se  0.874  0.280  0.252
Ir  0.000  0.000  0.000
Se  0.374  0.215  0.000
Ru  0.000  0.000  0.500
Se  0.629  0.788  0.500
Rh  0.500  0.500  0.749
Se  0.874  0.280  0.748
Se  0.126  0.720  0.748
Rh  0.500  0.500  0.251
Se  0.371  0.212  0.500

=====

2.
## PrGe2Pt (PBE)

Data for a geometry-optimized PrGe2Pt structure.

As for the final energy: -5.917 eV/atom. As for the density of states at the Fermi level: 1.4 states/eV/f.u. The calculated density comes out at 9.63 Mg/m³. The calculation puts the total moment at 0.0000 μB per atom.

a b c (Å): 9.713 9.713 9.713
angles (deg): 153.36 125.50 61.67
Atoms (fractional coordinates):
Pt  0.099  0.350  0.748
Pr  0.297  0.797  0.500
Ge  0.426  0.426  0.000
Ge  0.347  0.197  0.150
Ge  0.925  0.425  0.500
Ge  0.953  0.803  0.150
Pt  0.398  0.650  0.748
Ge  0.047  0.197  0.850
Pr  0.745  0.000  0.745
Ge  0.574  0.574  0.000
Ge  0.075  0.575  0.500
Pt  0.901  0.650  0.252
Ge  0.653  0.803  0.850
Pt  0.602  0.350  0.252
Pr  0.255  0.000  0.255
Pr  0.703  0.203  0.500

=====

3.
## OsWCl (PBE)

Data for a geometry-optimized OsWCl structure.

The value obtained for the energy above the lowest structure with this stoichiometry is 312 meV per atom. As for the final energy: -8.017 eV/atom. The raw formation energy is 0.660 eV/atom. As for the density of states at the Fermi level: 2.2 states/eV/f.u. The calculated density comes out at 12.57 Mg/m³. The calculation puts the total moment at 0.0000 μB per atom.

a b c (Å): 7.918 7.637 2.904
angles (deg): 84.75 73.84 21.42
Atoms (fractional coordinates):
W  0.665  0.665  0.335
Cl  0.028  0.028  0.972
Os  0.307  0.307  0.693

=====

4.
## Au2S5 (PBE)

Data for a geometry-optimized Au2S5 structure.

As for the final energy: -3.563 eV/atom. The raw formation energy is 0.322 eV/atom. As for the density of states at the Fermi level: 3.0 states/eV/f.u. The calculated density comes out at 5.19 Mg/m³. The calculation puts the total moment at 0.0000 μB per atom.

a b c (Å): 3.344 9.296 12.806
angles (deg): 115.77 97.50 90.00
Atoms (fractional coordinates):
Au  0.416  0.124  0.841
S  0.287  0.293  0.564
S  0.005  0.750  0.000
Au  0.584  0.876  0.159
Au  0.425  0.624  0.841
S  0.843  0.023  0.694
Au  0.575  0.376  0.159
S  0.148  0.477  0.306
S  0.852  0.523  0.694
S  0.722  0.207  0.436
S  0.995  0.250  0.000
S  0.157  0.977  0.306
S  0.713  0.707  0.436
S  0.278  0.793  0.564

=====

5.
## TiBi3As (PBE)

Data for a geometry-optimized TiBi3As structure.

The value obtained for the energy above the lowest structure with this stoichiometry is 0 meV per atom. As for the final energy: -4.360 eV/atom. As for the density of states at the Fermi level: 5.6 states/eV/f.u. The calculated density comes out at 8.04 Mg/m³. The calculation puts the total moment at 0.0001 μB per atom.

a b c (Å): 5.370 5.370 5.370
angles (deg): 90.00 90.00 90.00
Atoms (fractional coordinates):
As  0.500  0.500  0.500
Ti  0.000  0.000  0.000
Bi  0.000  0.500  0.000
Bi  0.000  0.000  0.500
Bi  0.500  0.000  0.000

=====

6.
## KVAg2S4 (PBE)

Data for a geometry-optimized KVAg2S4 structure.

As for the final energy: -4.687 eV/atom. The raw formation energy is -0.634 eV/atom. As for the density of states at the Fermi level: 0.0 states/eV/f.u. The calculated density comes out at 3.71 Mg/m³. The calculation puts the total moment at 0.0000 μB per atom.

a b c (Å): 6.603 6.603 6.452
angles (deg): 120.76 120.76 90.03
Atoms (fractional coordinates):
V  0.500  0.500  0.000
S  0.168  0.168  0.716
Ag  0.250  0.750  0.500
K  0.000  0.000  0.000
S  0.547  0.547  0.716
Ag  0.750  0.250  0.500
S  0.453  0.832  0.284
S  0.832  0.453  0.284

=====

Q: Which formula does entry 4 have?
A: Au2S5

=====

Q: Which of these has the lowest final energy?
A: OsWCl